1 | Computed, not measured: a relaxed Mo2AsO crystal at the GGA+U level of DFT.

Lattice parameters (Å, degrees): 5.819 5.819 5.819 113.68 113.68 101.34
Fractional positions:
Mo: 0.064 0.125 0.439
Mo: 0.375 0.936 0.061
Mo: 0.686 0.625 0.561
Mo: 0.875 0.314 0.939
As: 0.250 0.750 0.500
As: 0.500 0.500 0.000
O: 0.000 0.000 0.000
O: 0.750 0.250 0.500

Crystal system = tetragonal
Space-group type = I-42d, No. 122
Fermi-level density of states = 1.8 states/eV per cell
Total moment = 14.000 μB/cell

=====

2 | Computed, not measured: a relaxed Mo2AsO crystal at the GGA+U level of DFT.

Lattice parameters (Å, degrees): 4.310 4.310 4.310 60.00 60.00 60.00
Fractional positions:
Mo: 0.250 0.250 0.250
Mo: 0.750 0.750 0.750
As: 0.000 0.000 0.000
O: 0.500 0.500 0.500

Crystal system = cubic
Space-group type = Fm-3m, No. 225
Fermi-level density of states = 2.9 states/eV per cell
Total moment = 2.998 μB/cell

=====

Which is most stable? The ranking, best first, is 1, 2.

=====

1 | Computed, not measured: a relaxed MoAs3O crystal at the GGA+U level of DFT.

Lattice parameters (Å, degrees): 4.404 4.404 4.404 90.00 90.00 90.00
Fractional positions:
Mo: 0.000 0.000 0.000
As: 0.000 0.500 0.500
As: 0.500 0.000 0.500
As: 0.500 0.500 0.000
O: 0.500 0.500 0.500

Crystal system = cubic
Space-group type = Pm-3m, No. 221
Fermi-level density of states = 1.6 states/eV per cell
Total moment = 2.945 μB/cell

=====

2 | Computed, not measured: a relaxed MoAs3O crystal at the GGA+U level of DFT.

Lattice parameters (Å, degrees): 4.807 4.807 4.807 90.00 90.00 90.00
Fractional positions:
Mo: 0.000 0.000 0.000
As: 0.000 0.000 0.500
As: 0.000 0.500 0.000
As: 0.500 0.000 0.000
O: 0.500 0.500 0.500

Crystal system = cubic
Space-group type = Pm-3m, No. 221
Fermi-level density of states = 3.7 states/eV per cell
Total moment = 0.000 μB/cell

=====

Which is most stable? The ranking, best first, is 1, 2.

=====

1 | Computed, not measured: a relaxed MoAsSe2O crystal at the GGA+U level of DFT.

Lattice parameters (Å, degrees): 4.588 4.588 4.312 90.00 90.00 90.00
Fractional positions:
Mo: 0.000 0.000 0.000
As: 0.500 0.500 0.000
Se: 0.000 0.500 0.500
Se: 0.500 0.000 0.500
O: 0.500 0.500 0.500

Crystal system = tetragonal
Space-group type = P4/mmm, No. 123
Fermi-level density of states = 2.4 states/eV per cell
Total moment = 2.687 μB/cell

=====

2 | Computed, not measured: a relaxed MoAsSe2O crystal at the GGA+U level of DFT.

Lattice parameters (Å, degrees): 4.822 4.822 4.962 90.00 90.00 90.00
Fractional positions:
Mo: 0.000 0.000 0.000
As: 0.000 0.000 0.500
Se: 0.000 0.500 0.000
Se: 0.500 0.000 0.000
O: 0.500 0.500 0.500

Crystal system = tetragonal
Space-group type = P4/mmm, No. 123
Fermi-level density of states = 5.7 states/eV per cell
Total moment = 0.075 μB/cell

=====

Which is most stable? The ranking, best first, is 1, 2.